[1]
Below is an optimized crystal structure of TmHgF6, with properties calculated at the GGA-PBE level.

```
TmHgF6
1.0
3.430 0.000 0.000
0.000 6.953 0.000
0.000 0.000 10.512
Tm Hg F
2 2 12
Direct
0.000 0.000 0.000
0.000 0.500 0.500
0.500 0.000 0.536
0.500 0.500 0.036
0.000 0.000 0.670
0.000 0.192 0.435
0.000 0.308 0.935
0.000 0.500 0.170
0.000 0.692 0.935
0.000 0.808 0.435
0.500 0.000 0.876
0.500 0.165 0.103
0.500 0.335 0.603
0.500 0.500 0.376
0.500 0.665 0.603
0.500 0.835 0.103
```

Output
Calculated density ... 6.4 g/cm3
Raw formation energy ... -2.500 eV/atom
DOS(E_F) ... 9.43 states/eV/cell

[2]
Below is an optimized crystal structure of TmHgF5, with properties calculated at the GGA-PBE level.

```
TmHgF5
1.0
4.751 -3.560 0.000
4.751 3.560 0.000
-3.675 0.000 7.564
Tm Hg F
2 2 10
Direct
0.000 0.000 0.000
0.000 0.000 0.500
0.481 0.519 0.750
0.519 0.481 0.250
0.056 0.944 0.750
0.217 0.282 0.628
0.280 0.684 0.020
0.282 0.217 0.128
0.316 0.720 0.480
0.684 0.280 0.520
0.718 0.783 0.872
0.720 0.316 0.980
0.783 0.718 0.372
0.944 0.056 0.250
```

Output
Calculated density ... 6.0 g/cm3
Raw formation energy ... -2.953 eV/atom
DOS(E_F) ... 0.00 states/eV/cell

[3]
Below is an optimized crystal structure of TmHgF, with properties calculated at the GGA-PBE level.

```
TmHgF
1.0
3.855 0.000 0.000
-1.928 3.339 0.000
0.000 0.000 4.882
Tm Hg F
1 1 1
Direct
0.000 0.000 0.000
0.333 0.667 0.500
0.667 0.333 0.000
```

Output
Calculated density ... 10.3 g/cm3
Raw formation energy ... -1.781 eV/atom
DOS(E_F) ... 1.93 states/eV/cell

[4]
Below is an optimized crystal structure of TmHgF3, with properties calculated at the GGA-PBE level.

```
TmHgF3
1.0
4.422 0.000 0.000
0.000 4.422 0.000
0.000 0.000 4.422
Tm Hg F
1 1 3
Direct
0.000 0.000 0.000
0.500 0.500 0.500
0.000 0.000 0.500
0.000 0.500 0.000
0.500 0.000 0.000
```

Output
Calculated density ... 8.2 g/cm3
Raw formation energy ... -3.160 eV/atom
Energy relative to the lowest polymorph listed for this composition ... 38 meV per atom
DOS(E_F) ... 0.00 states/eV/cell

[5]
Below is an optimized crystal structure of Tm2HgF, with properties calculated at the GGA-PBE level.

```
Tm2HgF
1.0
4.726 0.000 0.000
-2.363 4.093 0.000
0.000 0.000 19.990
Tm Hg F
6 3 3
Direct
0.000 0.000 0.107
0.000 0.000 0.893
0.333 0.667 0.560
0.333 0.667 0.773
0.667 0.333 0.227
0.667 0.333 0.440
0.000 0.000 0.500
0.333 0.667 0.167
0.667 0.333 0.833
0.000 0.000 0.000
0.333 0.667 0.667
0.667 0.333 0.333
```

Output
Calculated density ... 7.2 g/cm3
Raw formation energy ... -1.339 eV/atom
DOS(E_F) ... 14.22 states/eV/cell

[6]
Below is an optimized crystal structure of UHgF6, with properties calculated at the GGA-PBE level.

```
UHgF6
1.0
0.000 4.921 4.921
4.921 0.000 4.921
4.921 4.921 0.000
U Hg F
1 1 6
Direct
0.000 0.000 0.000
0.500 0.500 0.500
0.209 0.209 0.791
0.209 0.791 0.209
0.209 0.791 0.791
0.791 0.209 0.209
0.791 0.209 0.791
0.791 0.791 0.209
```

Output
Calculated density ... 3.9 g/cm3
Raw formation energy ... -2.890 eV/atom
DOS(E_F) ... 6.92 states/eV/cell

[7]
Below is an optimized crystal structure of UHg2F6, with properties calculated at the GGA-PBE level.

```
UHg2F6
1.0
5.209 0.000 0.000
-2.605 4.512 0.000
0.000 0.000 7.916
U Hg F
1 2 6
Direct
0.000 0.000 0.000
0.333 0.667 0.500
0.667 0.333 0.500
0.000 0.317 0.156
0.000 0.683 0.844
0.317 0.000 0.156
0.317 0.317 0.844
0.683 0.000 0.844
0.683 0.683 0.156
```

Output
Calculated density ... 6.7 g/cm3
Raw formation energy ... -2.659 eV/atom
DOS(E_F) ... 4.89 states/eV/cell

[8]
Below is an optimized crystal structure of UHgF5, with properties calculated at the GGA-PBE level.

```
UHgF5
1.0
6.477 -4.715 0.000
6.477 4.715 0.000
-6.147 0.000 6.594
U Hg F
2 2 10
Direct
0.000 0.000 0.000
0.000 0.000 0.500
0.479 0.521 0.750
0.521 0.479 0.250
0.032 0.968 0.750
0.144 0.736 0.409
0.145 0.265 0.193
0.264 0.856 0.091
0.265 0.145 0.693
0.735 0.855 0.307
0.736 0.144 0.909
0.855 0.735 0.807
0.856 0.264 0.591
0.968 0.032 0.250
```

Output
Calculated density ... 4.4 g/cm3
Raw formation energy ... -2.982 eV/atom